VASP calculation (PBE) on a geometry-optimized Ca2CdF structure.

Results
volume = 94 Å³ per cell
crystal system = tetragonal
E above lowest polymorph = 0.295 eV/atom
DOS(E_F) = 0.608 states/eV per atom

abc: 3.4345 3.4345 7.9978
angles: 90.00 90.00 90.00
With the nearest neighbours (Å) after each atom.
Space group P4/mmm (No. 123)
Inequivalent atoms, fractional coordinates:
Ca (0.0000, 0.0000, 0.2302)  4 F 3.05, 4 Cd 3.25
Cd (0.5000, 0.5000, 0.5000)  8 Ca 3.25, 4 Cd 3.43
F (0.5000, 0.5000, 0.0000)  8 Ca 3.05

---

VASP calculation (PBE) on a geometry-optimized Ca3Cd5F12 structure.

Results
volume = 2675 Å³ per cell
crystal system = cubic
DOS(E_F) = 0.269 states/eV per atom
E = -4.121 eV per atom

abc: 13.8824 13.8824 13.8824
angles: 90.00 90.00 90.00
With the nearest neighbours (Å) after each atom.
Space group Ia-3d (No. 230)
Inequivalent atoms, fractional coordinates:
Ca (0.0000, 0.2500, 0.1250)  8 F 2.40-2.65
Cd (0.0000, 0.0000, 0.0000)  6 F 2.33
Cd (0.0000, 0.2500, 0.3750)  4 F 2.36
F (0.0151, 0.0792, 0.6474)  2 Cd 2.33-2.36, 1 Ca 2.40

---

VASP calculation (PBE) on a geometry-optimized CaCdF structure.

Results
volume = 115 Å³ per cell
crystal system = tetragonal
E above lowest polymorph = 0.157 eV/atom
DOS(E_F) = 0.452 states/eV per atom

abc: 3.3415 3.3415 10.2863
angles: 90.00 90.00 90.00
With the nearest neighbours (Å) after each atom.
Space group P4/nmm (No. 129, origin choice 2)
Inequivalent atoms, fractional coordinates:
Ca (0.2500, 0.2500, 0.1619)  5 F 2.42-2.53
Cd (0.2500, 0.2500, 0.6007)  8 Cd 3.14-3.34, 1 F 3.35, 4 Ca 3.40
F (0.2500, 0.2500, 0.9267)  5 Ca 2.42-2.53

---

VASP calculation (PBE) on a geometry-optimized Ca2Cd2F7 structure.

Results
volume = 366 Å³ per cell
crystal system = orthorhombic
DOS(E_F) = 0.161 states/eV per atom
E = -4.540 eV per atom

abc: 7.8808 8.1480 5.6979
angles: 90.00 90.00 90.00
With the nearest neighbours (Å) after each atom.
Space group Cmmm (No. 65)
Inequivalent atoms, fractional coordinates:
Ca (0.0000, 0.2284, 0.0000)  6 F 2.29-2.38
Cd (0.2270, 0.0000, 0.5000)  3 F 2.15-2.35
F (0.0000, 0.0000, 0.2336)  2 Ca 2.29, 2 Cd 2.35
F (0.0000, 0.5000, 0.5000)  2 Cd 2.15
F (0.2500, 0.2500, 0.2332)  2 Ca 2.38, 2 Cd 2.55, 1 F 2.66

---

VASP calculation (PBE) on a geometry-optimized Ca4Cd2F structure.

Results
volume = 405 Å³ per cell
crystal system = tetragonal
DOS(E_F) = 0.566 states/eV per atom
E = -2.616 eV per atom

abc: 4.7506 4.7506 17.9424
angles: 90.00 90.00 90.00
With the nearest neighbours (Å) after each atom.
Space group I4/mmm (No. 139)
Inequivalent atoms, fractional coordinates:
Ca (0.0000, 0.0000, 0.1870)  5 Cd 3.27-3.51, 1 F 3.36
Ca (0.0000, 0.5000, 0.0000)  2 F 2.38
Cd (0.0000, 0.0000, 0.3694)  9 Ca 3.27-3.51
F (0.0000, 0.0000, 0.0000)  4 Ca 2.38

---

VASP calculation (PBE) on a geometry-optimized CaCd3F8 structure.

Results
volume = 166 Å³ per cell
crystal system = cubic
DOS(E_F) = 0.000 states/eV per atom
E = -4.280 eV per atom

abc: 5.4953 5.4953 5.4953
angles: 90.00 90.00 90.00
With the nearest neighbours (Å) after each atom.
Space group Pm-3m (No. 221)
Inequivalent atoms, fractional coordinates:
Ca (0.0000, 0.0000, 0.0000)  8 F 2.38
Cd (0.0000, 0.5000, 0.5000)  8 F 2.38
F (0.2498, 0.2498, 0.2498)  1 Ca 2.38, 3 Cd 2.38

---

VASP calculation (PBE) on a geometry-optimized Ca4Cd6F19 structure.

Results
volume = 919 Å³ per cell
crystal system = cubic
DOS(E_F) = 0.042 states/eV per atom
E = -4.452 eV per atom

abc: 9.7225 9.7225 9.7225
angles: 90.00 90.00 90.00
With the nearest neighbours (Å) after each atom.
Space group I23 (No. 197)
Inequivalent atoms, fractional coordinates:
Ca (0.1418, 0.1418, 0.1418)  7 F 2.27-2.52
Cd (0.0000, 0.1620, 0.5000)  6 F 2.23-2.45
F (0.0000, 0.0000, 0.0000)  4 Ca 2.39
F (0.0000, 0.0000, 0.3064)  2 Cd 2.45, 2 Ca 2.52
F (0.0678, 0.2824, 0.3125)  2 Cd 2.23-2.26, 1 Ca 2.27

---

VASP calculation (PBE) on a geometry-optimized Ca4CdF2 structure.

Results
volume = 449 Å³ per cell
crystal system = tetragonal
DOS(E_F) = 0.650 states/eV per atom
E = -3.135 eV per atom

abc: 5.8897 5.8897 12.9338
angles: 90.00 90.00 90.00
With the nearest neighbours (Å) after each atom.
Space group I4/mmm (No. 139)
Inequivalent atoms, fractional coordinates:
Ca (0.0000, 0.0000, 0.2447)  1 F 2.06
Ca (0.0000, 0.5000, 0.0000)  2 Cd 2.94, 4 F 3.20
Cd (0.0000, 0.0000, 0.0000)  6 Ca 2.94-3.16
F (0.0000, 0.0000, 0.4039)  1 Ca 2.06

---

VASP calculation (PBE) on a geometry-optimized Ca2CdHF structure.

Results
volume = 108 Å³ per cell
crystal system = tetragonal
DOS(E_F) = 0.346 states/eV per atom
E = -2.949 eV per atom

abc: 4.6833 4.6833 4.9088
angles: 90.00 90.00 90.00
With the nearest neighbours (Å) after each atom.
Space group P4/mmm (No. 123)
Inequivalent atoms, fractional coordinates:
Ca (0.0000, 0.5000, 0.0000)  2 F 2.34
Cd (0.0000, 0.0000, 0.5000)  4 H 3.31, 8 Ca 3.39
H (0.5000, 0.5000, 0.5000)  2 F 2.45
F (0.5000, 0.5000, 0.0000)  4 Ca 2.34, 2 H 2.45

---

VASP calculation (PBE) on a geometry-optimized Ca2HfCdF structure.

Results
volume = 164 Å³ per cell
crystal system = tetragonal
DOS(E_F) = 0.733 states/eV per atom
E = -3.675 eV per atom

abc: 6.3747 6.3747 4.0464
angles: 90.00 90.00 90.00
With the nearest neighbours (Å) after each atom.
Space group P4/mmm (No. 123)
Inequivalent atoms, fractional coordinates:
Ca (0.0000, 0.5000, 0.0000)  2 Hf 3.19
Hf (0.0000, 0.0000, 0.0000)  2 F 2.02
Cd (0.5000, 0.5000, 0.5000)  8 Ca 3.78, 2 Cd 4.05
F (0.0000, 0.0000, 0.5000)  2 Hf 2.02

---

VASP calculation (PBE) on a geometry-optimized CaCdHg2F8 structure.

Results
volume = 347 Å³ per cell
crystal system = tetragonal
DOS(E_F) = 0.000 states/eV per atom
E = -3.789 eV per atom

abc: 5.5800 5.5800 11.1413
angles: 90.00 90.00 90.00
With the nearest neighbours (Å) after each atom.
Space group I-4m2 (No. 119)
Inequivalent atoms, fractional coordinates:
Ca (0.0000, 0.0000, 0.0000)  8 F 2.39
Cd (0.0000, 0.5000, 0.7500)  8 F 2.39
Hg (0.0000, 0.0000, 0.5000)  8 F 2.44
Hg (0.0000, 0.5000, 0.2500)  8 F 2.44
F (0.2418, 0.2500, 0.8749)  1 Cd 2.39, 1 Ca 2.39, 2 Hg 2.44

---

VASP calculation (PBE) on a geometry-optimized CaCdHgF6 structure.

Results
volume = 301 Å³ per cell
crystal system = tetragonal
DOS(E_F) = 0.000 states/eV per atom
E = -4.110 eV per atom

abc: 5.2487 5.2487 10.9164
angles: 90.00 90.00 90.00
With the nearest neighbours (Å) after each atom.
Space group P4_2nm (No. 102)
Inequivalent atoms, fractional coordinates:
Ca (0.0000, 0.0000, 0.0000)  6 F 2.27-2.30
Cd (0.0000, 0.0000, 0.6659)  6 F 2.25-2.29
Hg (0.0000, 0.0000, 0.3328)  6 F 2.31-2.37
F (0.1883, 0.1883, 0.8325)  1 Cd 2.29, 1 Ca 2.30, 1 Hg 2.31
F (0.1945, 0.1945, 0.5045)  1 Ca 2.27, 1 Cd 2.28, 1 Hg 2.37
F (0.1963, 0.1963, 0.1614)  1 Cd 2.25, 1 Ca 2.29, 1 Hg 2.37